1.
A plane-wave DFT calculation with PBE was carried out for Th8PdPt3Se4 after structural relaxation.

Geometry as POSCAR:
```
Th8PdPt3Se4
1.0
7.229 -4.164 0.000
7.229 4.164 0.000
-4.820 0.000 7.231
Th Pd Pt Se
8 1 3 4
Direct
0.243 0.746 0.734 Th
0.244 0.244 0.731 Th
0.254 0.254 0.266 Th
0.254 0.757 0.266 Th
0.746 0.243 0.734 Th
0.746 0.746 0.734 Th
0.756 0.756 0.269 Th
0.757 0.254 0.266 Th
0.500 0.500 0.500 Pd
0.000 0.000 0.500 Pt
0.000 0.500 0.500 Pt
0.500 0.000 0.500 Pt
0.000 0.000 0.000 Se
0.000 0.500 0.000 Se
0.500 0.000 0.000 Se
0.500 0.500 0.000 Se
```

---

2.
A plane-wave DFT calculation with PBE was carried out for ZnPdPtSe2 after structural relaxation.

Geometry as POSCAR:
```
ZnPdPtSe2
1.0
4.750 0.000 0.000
0.000 4.750 0.000
0.000 0.000 4.724
Zn Pd Pt Se
1 1 1 2
Direct
0.000 0.000 0.000 Zn
0.500 0.500 0.500 Pd
0.000 0.000 0.500 Pt
0.000 0.500 0.000 Se
0.500 0.000 0.000 Se
```

---

3.
A plane-wave DFT calculation with PBE was carried out for SiPdPt2 after structural relaxation.

Geometry as POSCAR:
```
SiPdPt2
1.0
2.062 1.191 4.230
-2.062 1.191 4.230
0.000 -2.381 4.230
Si Pd Pt
1 1 2
Direct
0.000 0.000 0.000 Si
0.500 0.500 0.500 Pd
0.275 0.275 0.275 Pt
0.725 0.725 0.725 Pt
```

---

4.
A plane-wave DFT calculation with PBE was carried out for SiPdPt3 after structural relaxation.

Geometry as POSCAR:
```
SiPdPt3
1.0
4.825 0.000 0.000
0.000 4.825 0.000
0.000 0.000 4.825
Si Pd Pt
1 1 3
Direct
0.000 0.000 0.000 Si
0.500 0.500 0.500 Pd
0.000 0.500 0.500 Pt
0.500 0.000 0.500 Pt
0.500 0.500 0.000 Pt
```

Calculated values
ΔE to the lowest computed polymorph, meV per atom: 1886

---

5.
A plane-wave DFT calculation with PBE was carried out for SiPd2Pt after structural relaxation.

Geometry as POSCAR:
```
SiPd2Pt
1.0
0.000 3.894 3.925
3.879 0.000 3.925
3.879 3.894 0.000
Si Pd Pt
2 4 2
Direct
0.247 0.247 0.753 Si
0.753 0.753 0.247 Si
0.250 0.250 0.250 Pd
0.318 0.682 0.318 Pd
0.682 0.318 0.682 Pd
0.750 0.750 0.750 Pd
0.185 0.815 0.815 Pt
0.815 0.185 0.185 Pt
```

---

6.
A plane-wave DFT calculation with PBE was carried out for SiPdPt3 after structural relaxation.

Geometry as POSCAR:
```
SiPdPt3
1.0
-2.501 2.501 7.879
2.501 -2.501 7.879
2.501 2.501 -7.879
Si Pd Pt
2 2 6
Direct
0.000 0.000 0.000 Si
0.750 0.250 0.500 Si
0.287 0.287 0.000 Pd
0.713 0.713 0.000 Pd
0.036 0.536 0.500 Pt
0.375 0.125 0.250 Pt
0.464 0.964 0.500 Pt
0.875 0.125 0.250 Pt
0.875 0.125 0.750 Pt
0.875 0.625 0.750 Pt
```

Calculated values
ΔE to the lowest computed polymorph, meV per atom: 538

---

7.
A plane-wave DFT calculation with PBE was carried out for Si2Pd2Pt after structural relaxation.

Geometry as POSCAR:
```
Si2Pd2Pt
1.0
1.858 -6.889 0.000
1.858 6.889 0.000
0.000 0.000 5.927
Si Pd Pt
4 4 2
Direct
0.043 0.957 0.500 Si
0.285 0.715 0.657 Si
0.715 0.285 0.157 Si
0.957 0.043 0.000 Si
0.339 0.661 0.062 Pd
0.466 0.534 0.704 Pd
0.534 0.466 0.204 Pd
0.661 0.339 0.562 Pd
0.146 0.854 0.935 Pt
0.854 0.146 0.435 Pt
```

Calculated values
ΔE to the lowest computed polymorph, meV per atom: 0

---

8.
A plane-wave DFT calculation with PBE was carried out for SiPdPt2 after structural relaxation.

Geometry as POSCAR:
```
SiPdPt2
1.0
-3.495 3.495 2.604
3.495 -3.495 2.604
3.495 3.495 -2.604
Si Pd Pt
2 2 4
Direct
0.000 0.000 0.000 Si
0.750 0.250 0.500 Si
0.250 0.750 0.500 Pd
0.500 0.500 0.000 Pd
0.078 0.125 0.453 Pt
0.375 0.922 0.047 Pt
0.672 0.625 0.547 Pt
0.875 0.328 0.953 Pt
```

---

9.
A plane-wave DFT calculation with PBE was carried out for Si2PdPt after structural relaxation.

Geometry as POSCAR:
```
Si2PdPt
1.0
1.475 0.852 8.495
-1.475 0.852 8.495
0.000 -1.703 8.495
Si Pd Pt
2 1 1
Direct
0.092 0.092 0.092 Si
0.908 0.908 0.908 Si
0.000 0.000 0.000 Pd
0.500 0.500 0.500 Pt
```

Calculated values
ΔE to the lowest computed polymorph, meV per atom: 219

---

10.
A plane-wave DFT calculation with PBE was carried out for SiPdPt3 after structural relaxation.

Geometry as POSCAR:
```
SiPdPt3
1.0
7.268 0.000 0.000
0.000 2.862 0.000
-1.915 0.000 7.276
Si Pd Pt
2 2 6
Direct
0.242 0.250 0.414 Si
0.758 0.750 0.586 Si
0.324 0.250 0.978 Pd
0.676 0.750 0.022 Pd
0.083 0.750 0.163 Pt
0.151 0.750 0.644 Pt
0.485 0.750 0.316 Pt
0.515 0.250 0.684 Pt
0.849 0.250 0.356 Pt
0.917 0.250 0.837 Pt
```

Calculated values
ΔE to the lowest computed polymorph, meV per atom: 0

---

11.
A plane-wave DFT calculation with PBE was carried out for SiPd2Pt after structural relaxation.

Geometry as POSCAR:
```
SiPd2Pt
1.0
-1.855 1.855 9.256
1.855 -1.855 9.256
1.855 1.855 -9.256
Si Pd Pt
2 4 2
Direct
0.000 0.000 0.000 Si
0.750 0.250 0.500 Si
0.119 0.625 0.994 Pd
0.375 0.369 0.494 Pd
0.631 0.125 0.006 Pd
0.875 0.881 0.506 Pd
0.250 0.750 0.500 Pt
0.500 0.500 0.000 Pt
```

---

12.
A plane-wave DFT calculation with PBE was carried out for SiPdPt2 after structural relaxation.

Geometry as POSCAR:
```
SiPdPt2
1.0
1.850 -4.490 0.000
1.850 4.490 0.000
0.000 0.000 7.286
Si Pd Pt
2 2 4
Direct
0.232 0.768 0.750 Si
0.768 0.232 0.250 Si
0.060 0.940 0.250 Pd
0.940 0.060 0.750 Pd
0.358 0.642 0.056 Pt
0.358 0.642 0.444 Pt
0.642 0.358 0.556 Pt
0.642 0.358 0.944 Pt
```

---

N(E_F) readings, ordered: 12.01; 5.62; 2.33; 10.44; 2.22; 7.37; 1.90; 2.20; 2.02; 6.93; 3.64; 3.49 states/eV/cell
Energy relative to the elements, uncorrected readings, ordered: -1.284; 0.723; -0.337; 1.490; -0.527; 0.142; -0.574; -0.430; -0.154; -0.396; -0.150; -0.560 eV/atom